# Gd4Ni13C4, optimized geometry, DFT PBE
# **Mass density**: 8.690 g cm⁻³
# **E_form**: -321 meV/atom
# **Calculated total energy**: -8.339 eV per atom
data_Gd4Ni13C4
_space_group_name_H-M_alt 'C m m m'
_space_group_IT_number 65
_space_group_name_Hall '-C 2 2'
_cell_length_a 11.7829
_cell_length_b 12.0244
_cell_length_c 3.8842
_cell_angle_alpha 90.00
_cell_angle_beta 90.00
_cell_angle_gamma 90.00
loop_
_atom_site_label
_atom_site_type_symbol
_atom_site_fract_x
_atom_site_fract_y
_atom_site_fract_z
_atom_site_occupancy
Gd1 Gd 0.0000 0.1886 0.0000 1
Gd2 Gd 0.1523 0.5000 0.0000 1
Ni1 Ni 0.0000 0.0000 0.5000 1
Ni2 Ni 0.1079 0.3238 0.5000 1
Ni3 Ni 0.1226 0.0000 0.0000 1
Ni4 Ni 0.1821 0.1088 0.5000 1
Ni5 Ni 0.2500 0.2500 0.0000 1
C1 C 0.0000 0.4435 0.5000 1
C2 C 0.2500 0.2500 0.5000 1